# Na2ZnP2

A relaxed Na2ZnP2 crystal (GGA-PBE, the Alexandria database).

```
data_Na2ZnP2
_symmetry_space_group_name_H-M 'P 4/m b m'
_symmetry_Int_Tables_number 127
_symmetry_space_group_name_Hall '-P 4 2ab'
_cell_length_a 6.4181
_cell_length_b 6.4181
_cell_length_c 4.6721
_cell_angle_alpha 90.00
_cell_angle_beta 90.00
_cell_angle_gamma 90.00
loop_
_atom_site_label
_atom_site_type_symbol
_atom_site_fract_x
_atom_site_fract_y
_atom_site_fract_z
_atom_site_occupancy
Na1 Na 0.1748 0.3252 0.0000 1
Zn1 Zn 0.0000 0.0000 0.5000 1
P1 P 0.1244 0.6244 0.5000 1
```

Summary:
The value obtained for the total energy is -3.20 eV per atom. The density of states at the Fermi level comes out at 0.71 states/eV/cell. The value obtained for the calculated volume is 19.2 Å³/atom. As for the distance to the lowest polymorph of the same formula: 0 meV/atom. The calculation puts the formation energy at -0.26 eV per atom.

***

# CsMgBi3

A relaxed CsMgBi3 crystal (GGA-PBE, the Alexandria database).

```
data_CsMgBi3
_symmetry_space_group_name_H-M 'P m -3 m'
_symmetry_Int_Tables_number 221
_symmetry_space_group_name_Hall '-P 4 2 3'
_cell_length_a 6.3334
_cell_length_b 6.3334
_cell_length_c 6.3334
_cell_angle_alpha 90.00
_cell_angle_beta 90.00
_cell_angle_gamma 90.00
loop_
_atom_site_label
_atom_site_type_symbol
_atom_site_fract_x
_atom_site_fract_y
_atom_site_fract_z
_atom_site_occupancy
Cs1 Cs 0.0000 0.0000 0.0000 1
Mg1 Mg 0.5000 0.5000 0.5000 1
Bi1 Bi 0.0000 0.0000 0.5000 1
```

Summary:
The value obtained for the total energy is -1.49 eV per atom. The density of states at the Fermi level comes out at 6.33 states/eV/cell. The value obtained for the calculated volume is 50.8 Å³/atom. As for the distance to the lowest polymorph of the same formula: 1246 meV/atom. The calculation puts the formation energy at 1.33 eV per atom.

***

# Tb2Y4Ho

A relaxed Tb2Y4Ho crystal (GGA-PBE, the Alexandria database).

```
data_Tb2Y4Ho
_symmetry_space_group_name_H-M 'P 1 21/m 1'
_symmetry_Int_Tables_number 11
_symmetry_space_group_name_Hall '-P 2yb'
_cell_length_a 5.9872
_cell_length_b 6.6806
_cell_length_c 11.6688
_cell_angle_alpha 90.00
_cell_angle_beta 104.53
_cell_angle_gamma 90.00
loop_
_atom_site_label
_atom_site_type_symbol
_atom_site_fract_x
_atom_site_fract_y
_atom_site_fract_z
_atom_site_occupancy
Tb1 Tb 0.0929 0.2500 0.4912 1
Tb2 Tb 0.3350 0.7500 0.0559 1
Y1 Y 0.1576 0.0044 0.7898 1
Y2 Y 0.2289 0.2500 0.0773 1
Y3 Y 0.3596 0.7500 0.3412 1
Ho1 Ho 0.4786 0.7500 0.6400 1
```

Summary:
The value obtained for the total energy is -5.53 eV per atom. The density of states at the Fermi level comes out at 25.46 states/eV/cell. The value obtained for the calculated volume is 32.3 Å³/atom. As for the distance to the lowest polymorph of the same formula: 101 meV/atom. The calculation puts the formation energy at 0.14 eV per atom.

***

# KWCl2

A relaxed KWCl2 crystal (GGA-PBE, the Alexandria database).

```
data_KWCl2
_symmetry_space_group_name_H-M 'F -4 3 m'
_symmetry_Int_Tables_number 216
_symmetry_space_group_name_Hall 'F -4 2 3'
_cell_length_a 7.4535
_cell_length_b 7.4535
_cell_length_c 7.4535
_cell_angle_alpha 90.00
_cell_angle_beta 90.00
_cell_angle_gamma 90.00
loop_
_atom_site_label
_atom_site_type_symbol
_atom_site_fract_x
_atom_site_fract_y
_atom_site_fract_z
_atom_site_occupancy
K1 K 0.0000 0.0000 0.0000 1
W1 W 0.2500 0.2500 0.2500 1
Cl1 Cl 0.0000 0.0000 0.5000 1
Cl2 Cl 0.2500 0.2500 0.7500 1
```

Summary:
The value obtained for the total energy is -3.54 eV per atom. The density of states at the Fermi level comes out at 23.75 states/eV/cell. The value obtained for the calculated volume is 25.9 Å³/atom. As for the distance to the lowest polymorph of the same formula: 1040 meV/atom. For the formation energy from raw total energies, the calculation gives 3.58 eV/f.u.

***

# BaNiSnH2

A relaxed BaNiSnH2 crystal (GGA-PBE, the Alexandria database).

```
data_BaNiSnH2
_symmetry_space_group_name_H-M 'C m c m'
_symmetry_Int_Tables_number 63
_symmetry_space_group_name_Hall '-C 2c 2'
_cell_length_a 4.2760
_cell_length_b 12.6014
_cell_length_c 6.2172
_cell_angle_alpha 90.00
_cell_angle_beta 90.00
_cell_angle_gamma 90.00
loop_
_atom_site_label
_atom_site_type_symbol
_atom_site_fract_x
_atom_site_fract_y
_atom_site_fract_z
_atom_site_occupancy
Ba1 Ba 0.0000 0.2041 0.2500 1
Ni1 Ni 0.0000 0.5000 0.0000 1
Sn1 Sn 0.0000 0.0644 0.7500 1
H1 H 0.0000 0.3766 0.5344 1
```

Summary:
The value obtained for the total energy is -4.00 eV per atom. The density of states at the Fermi level comes out at 8.12 states/eV/cell. The value obtained for the calculated volume is 16.8 Å³/atom. As for the distance to the lowest polymorph of the same formula: 0 meV/atom.

***

# Sr4CdHg5

A relaxed Sr4CdHg5 crystal (GGA-PBE, the Alexandria database).

```
data_Sr4CdHg5
_symmetry_space_group_name_H-M 'P 4/m m m'
_symmetry_Int_Tables_number 123
_symmetry_space_group_name_Hall '-P 4 2'
_cell_length_a 3.9483
_cell_length_b 3.9483
_cell_length_c 19.4591
_cell_angle_alpha 90.00
_cell_angle_beta 90.00
_cell_angle_gamma 90.00
loop_
_atom_site_label
_atom_site_type_symbol
_atom_site_fract_x
_atom_site_fract_y
_atom_site_fract_z
_atom_site_occupancy
Sr1 Sr 0.0000 0.0000 0.1044 1
Sr2 Sr 0.0000 0.0000 0.3138 1
Cd1 Cd 0.0000 0.0000 0.5000 1
Hg1 Hg 0.5000 0.5000 0.0000 1
Hg2 Hg 0.5000 0.5000 0.2097 1
Hg3 Hg 0.5000 0.5000 0.4167 1
```

Summary:
The value obtained for the total energy is -1.36 eV per atom. The density of states at the Fermi level comes out at 7.10 states/eV/cell. The value obtained for the calculated volume is 30.3 Å³/atom. The calculation puts the formation energy at -0.44 eV per atom.

***

# GeRuPt

A relaxed GeRuPt crystal (GGA-PBE, the Alexandria database).

```
data_GeRuPt
_symmetry_space_group_name_H-M 'F -4 3 m'
_symmetry_Int_Tables_number 216
_symmetry_space_group_name_Hall 'F -4 2 3'
_cell_length_a 5.8160
_cell_length_b 5.8160
_cell_length_c 5.8160
_cell_angle_alpha 90.00
_cell_angle_beta 90.00
_cell_angle_gamma 90.00
loop_
_atom_site_label
_atom_site_type_symbol
_atom_site_fract_x
_atom_site_fract_y
_atom_site_fract_z
_atom_site_occupancy
Ge1 Ge 0.0000 0.0000 0.0000 1
Ru1 Ru 0.2500 0.2500 0.7500 1
Pt1 Pt 0.2500 0.2500 0.2500 1
```

Summary:
The value obtained for the total energy is -6.82 eV per atom. The density of states at the Fermi level comes out at 8.13 states/eV/cell. The value obtained for the calculated volume is 16.4 Å³/atom. As for the distance to the lowest polymorph of the same formula: 0 meV/atom. The calculation puts the formation energy at -0.17 eV per atom.

***

# Ce2TmMg

A relaxed Ce2TmMg crystal (GGA-PBE, the Alexandria database).

```
data_Ce2TmMg
_symmetry_space_group_name_H-M 'P 4/m m m'
_symmetry_Int_Tables_number 123
_symmetry_space_group_name_Hall '-P 4 2'
_cell_length_a 3.2970
_cell_length_b 3.2970
_cell_length_c 10.3411
_cell_angle_alpha 90.00
_cell_angle_beta 90.00
_cell_angle_gamma 90.00
loop_
_atom_site_label
_atom_site_type_symbol
_atom_site_fract_x
_atom_site_fract_y
_atom_site_fract_z
_atom_site_occupancy
Ce1 Ce 0.0000 0.0000 0.2438 1
Tm1 Tm 0.5000 0.5000 0.5000 1
Mg1 Mg 0.5000 0.5000 0.0000 1
```

Summary:
The value obtained for the total energy is -4.39 eV per atom. The density of states at the Fermi level comes out at 10.58 states/eV/cell. The value obtained for the calculated volume is 28.1 Å³/atom. As for the distance to the lowest polymorph of the same formula: 0 meV/atom. The calculation puts the formation energy at 0.09 eV per atom.